Arrangement i

## ScP2HCl (PBE)

Data for a relaxed ScP2HCl crystal.

Output
**Crystal system**: tetragonal
**Spin magnetization**: 3.00 Bohr magnetons per cell
**Symmetry**: P4/mmm (123)

Geometry as CIF:
```
data_ScP2HCl
_cell_length_a 5.118
_cell_length_b 5.118
_cell_length_c 5.068
_cell_angle_alpha 90.00
_cell_angle_beta 90.00
_cell_angle_gamma 90.00
_space_group_name_H-M_alt 'P 1'
_space_group_IT_number 1
loop_
_space_group_symop_operation_xyz
'x,y,z'
loop_
_atom_site_label
_atom_site_fract_x
_atom_site_fract_y
_atom_site_fract_z
_atom_site_occupancy
Sc1 0.000 0.000 0.000 1
P1 0.000 0.500 0.000 1
P2 0.500 0.000 0.000 1
H1 0.500 0.500 0.500 1
Cl1 0.000 0.000 0.500 1
```

Arrangement ii

## ScP2HCl (PBE)

Data for a relaxed ScP2HCl crystal.

Output
**Crystal system**: tetragonal
**Spin magnetization**: 0.00 Bohr magnetons per cell
**Symmetry**: P4/mmm (123)

Geometry as CIF:
```
data_ScP2HCl
_cell_length_a 3.710
_cell_length_b 3.710
_cell_length_c 5.219
_cell_angle_alpha 90.00
_cell_angle_beta 90.00
_cell_angle_gamma 90.00
_space_group_name_H-M_alt 'P 1'
_space_group_IT_number 1
loop_
_space_group_symop_operation_xyz
'x,y,z'
loop_
_atom_site_label
_atom_site_fract_x
_atom_site_fract_y
_atom_site_fract_z
_atom_site_occupancy
Sc1 0.000 0.000 0.000 1
P1 0.000 0.500 0.500 1
P2 0.500 0.000 0.500 1
H1 0.500 0.500 0.500 1
Cl1 0.500 0.500 0.000 1
```

Best to worst by energy: arrangement ii, arrangement i.